Record 1
Here is a relaxed structure of MgTePtPbO from Alexandria. Energies are from PBE.

Computed properties:
For the excess energy over the best structure of this formula in the dataset, the calculation gives 0 meV/atom. As for the density of states at the Fermi level: 4.96 states/eV/cell. The value obtained for the energy relative to the elements, uncorrected is -20.10 kcal/mol of atoms. As for the total magnetic moment: 0.0 μB/f.u. The symmetry is Cm (8). As for the calculated total energy: -4.760 eV per atom.

Cell lengths 11.265, 3.443, 5.902 Å; angles 90.00, 100.06, 90.00 degrees
Element x y z (fractional)
Mg (0.269, 0.500, 0.405)
Mg (0.269, 0.000, 0.905)
Pt (0.791, 0.500, 0.910)
Pt (0.791, 0.000, 0.410)
O (0.272, 0.500, 0.071)
O (0.272, 0.000, 0.571)
Pb (0.587, 0.500, 0.174)
Pb (0.587, 0.000, 0.674)
Te (0.952, 0.000, 0.798)
Te (0.952, 0.500, 0.298)

---

Record 2
Here is a relaxed structure of MgTePtPbO from Alexandria. Energies are from PBE.

Computed properties:
For the excess energy over the best structure of this formula in the dataset, the calculation gives 198 meV/atom. As for the density of states at the Fermi level: 0.58 states/eV/cell. The value obtained for the energy relative to the elements, uncorrected is -15.53 kcal/mol of atoms. As for the total magnetic moment: 0.0 μB/f.u. The symmetry is P1 (1). As for the calculated total energy: -4.562 eV per atom.

Cell lengths 3.632, 5.727, 6.465 Å; angles 75.96, 89.74, 71.66 degrees
Element x y z (fractional)
Mg (0.842, 0.289, 0.626)
Pt (0.698, 0.588, 0.224)
Te (0.327, 0.329, 0.088)
Pb (0.086, 0.809, 0.457)
O (0.311, 0.350, 0.733)

---

Record 3
Here is a relaxed structure of MgTePtPbO from Alexandria. Energies are from PBE.

Computed properties:
For the excess energy over the best structure of this formula in the dataset, the calculation gives 34 meV/atom. As for the density of states at the Fermi level: 1.15 states/eV/cell. The value obtained for the energy relative to the elements, uncorrected is -19.31 kcal/mol of atoms. As for the total magnetic moment: 0.0 μB/f.u. The symmetry is Cm (8). As for the calculated total energy: -4.726 eV per atom.

Cell lengths 3.431, 4.364, 7.712 Å; angles 106.42, 90.24, 90.00 degrees
Element x y z (fractional)
O (0.074, 0.558, 0.344)
Pt (0.073, 0.335, 0.895)
Mg (0.573, 0.492, 0.211)
Pb (0.077, 0.140, 0.508)
Te (0.572, 0.843, 0.912)

---

Record 4
Here is a relaxed structure of MgTePtPbO from Alexandria. Energies are from PBE.

Computed properties:
For the excess energy over the best structure of this formula in the dataset, the calculation gives 2 meV/atom. As for the density of states at the Fermi level: 3.72 states/eV/cell. The value obtained for the energy relative to the elements, uncorrected is -20.05 kcal/mol of atoms. As for the total magnetic moment: 0.0 μB/f.u. The symmetry is P1 (1). As for the calculated total energy: -4.758 eV per atom.

Cell lengths 3.432, 3.431, 10.889 Å; angles 90.02, 90.15, 119.99 degrees
Element x y z (fractional)
Pb (0.148, 0.815, 0.413)
Pt (0.811, 0.147, 0.207)
Mg (0.469, 0.470, 0.733)
Te (0.143, 0.813, 0.044)
O (0.803, 0.137, 0.732)

---

Record 5
Here is a relaxed structure of MgTePtPbO from Alexandria. Energies are from PBE.

Computed properties:
For the excess energy over the best structure of this formula in the dataset, the calculation gives 56 meV/atom. As for the density of states at the Fermi level: 1.14 states/eV/cell. The value obtained for the energy relative to the elements, uncorrected is -18.80 kcal/mol of atoms. As for the total magnetic moment: 0.0 μB/f.u. The symmetry is P1 (1). As for the calculated total energy: -4.704 eV per atom.

Cell lengths 3.497, 4.130, 7.730 Å; angles 90.05, 102.99, 90.00 degrees
Element x y z (fractional)
Pt (0.917, 0.401, 0.064)
O (0.219, 0.901, 0.662)
Mg (0.782, 0.901, 0.790)
Pb (0.130, 0.400, 0.482)
Te (0.450, 0.901, 0.130)

---

Record 6
Here is a relaxed structure of PuMgPbO6 from Alexandria. Energies are from PBE.

Computed properties:
As for the density of states at the Fermi level: 6.48 states/eV/cell. The value obtained for the energy relative to the elements, uncorrected is -45.62 kcal/mol of atoms. As for the total magnetic moment: 1.3 μB/f.u. The symmetry is P-31c (163). As for the calculated total energy: -7.465 eV per atom.

Cell lengths 5.432, 5.432, 9.828 Å; angles 90.00, 90.00, 120.00 degrees
Site moments in Bohr magnetons follow the coordinates.
Element x y z (fractional)
O (0.987, 0.636, 0.362)  -0.04
O (0.649, 0.013, 0.362)  -0.04
O (0.364, 0.351, 0.362)  -0.04
O (0.987, 0.351, 0.138)  -0.04
O (0.636, 0.649, 0.638)  -0.04
O (0.013, 0.364, 0.638)  -0.04
O (0.013, 0.649, 0.862)  -0.04
O (0.364, 0.013, 0.138)  -0.04
O (0.636, 0.987, 0.862)  -0.04
O (0.351, 0.987, 0.638)  -0.04
O (0.649, 0.636, 0.138)  -0.04
O (0.351, 0.364, 0.862)  -0.04
Pu (0.333, 0.667, 0.750)  1.52
Pu (0.667, 0.333, 0.250)  1.52
Pb (0.000, 0.000, 0.000)  0.03
Pb (0.000, 0.000, 0.500)  0.03
Mg (0.667, 0.333, 0.750)  0.00
Mg (0.333, 0.667, 0.250)  0.00

---

Record 7
Here is a relaxed structure of PuMg2PbO6 from Alexandria. Energies are from PBE.

Computed properties:
As for the density of states at the Fermi level: 6.90 states/eV/cell. The value obtained for the energy relative to the elements, uncorrected is -51.91 kcal/mol of atoms. As for the total magnetic moment: 2.0 μB/f.u. The symmetry is R3 (146). As for the calculated total energy: -7.349 eV per atom.

Cell lengths 5.567, 5.567, 5.949 Å; angles 62.09, 62.10, 60.01 degrees
Site moments in Bohr magnetons follow the coordinates.
Element x y z (fractional)
O (0.597, 0.253, 0.232)  -0.08
O (0.350, 0.719, 0.765)  -0.10
O (0.166, 0.350, 0.765)  -0.10
O (0.918, 0.597, 0.232)  -0.08
O (0.253, 0.918, 0.232)  -0.08
O (0.719, 0.166, 0.765)  -0.10
Mg (0.528, 0.528, 0.417)  0.00
Mg (0.011, 0.011, 0.967)  0.00
Pb (0.799, 0.799, 0.602)  -0.03
Pu (0.320, 0.320, 0.039)  2.61

---

Record 8
Here is a relaxed structure of PuMgPb2O6 from Alexandria. Energies are from PBE.

Computed properties:
As for the density of states at the Fermi level: 13.03 states/eV/cell. The value obtained for the energy relative to the elements, uncorrected is -46.06 kcal/mol of atoms. As for the total magnetic moment: 2.0 μB/f.u. The symmetry is P2_1/c (14). As for the calculated total energy: -7.306 eV per atom.

Cell lengths 5.802, 5.854, 8.422 Å; angles 90.00, 90.36, 90.00 degrees
Site moments in Bohr magnetons follow the coordinates.
Element x y z (fractional)
O (0.067, 0.477, 0.748)  -0.06
O (0.201, 0.216, 0.030)  -0.09
O (0.212, 0.201, 0.475)  -0.09
O (0.299, 0.716, 0.470)  -0.09
O (0.933, 0.523, 0.252)  -0.06
O (0.788, 0.799, 0.525)  -0.09
O (0.799, 0.784, 0.970)  -0.09
O (0.712, 0.299, 0.975)  -0.09
O (0.701, 0.284, 0.530)  -0.09
O (0.433, 0.977, 0.752)  -0.06
O (0.567, 0.023, 0.248)  -0.06
O (0.288, 0.701, 0.025)  -0.09
Mg (0.500, 0.000, 0.000)  0.00
Mg (0.000, 0.500, 0.500)  0.00
Pb (0.512, 0.462, 0.247)  0.01
Pb (0.012, 0.038, 0.747)  0.01
Pb (0.488, 0.538, 0.753)  0.01
Pb (0.988, 0.962, 0.253)  0.01
Pu (0.500, 0.000, 0.500)  2.47
Pu (0.000, 0.500, 0.000)  2.47

---

Record 9
Here is a relaxed structure of RbMgPbO4 from Alexandria. Energies are from PBE.

Computed properties:
As for the density of states at the Fermi level: 3.15 states/eV/cell. The value obtained for the energy relative to the elements, uncorrected is -28.67 kcal/mol of atoms. As for the total magnetic moment: 1.0 μB/f.u. The symmetry is P2_1/m (11). As for the calculated total energy: -4.972 eV per atom.

Cell lengths 6.076, 5.978, 8.060 Å; angles 90.00, 120.58, 90.00 degrees
Site moments in Bohr magnetons follow the coordinates.
Element x y z (fractional)
O (0.453, 0.250, 0.438)  0.46
O (0.441, 0.750, 0.216)  0.38
O (0.966, 0.980, 0.316)  0.00
O (0.559, 0.250, 0.784)  0.38
O (0.547, 0.750, 0.562)  0.46
O (0.966, 0.520, 0.316)  0.00
O (0.034, 0.480, 0.684)  0.00
O (0.034, 0.020, 0.684)  0.00
Rb (0.542, 0.750, 0.898)  0.01
Rb (0.458, 0.250, 0.102)  0.01
Mg (0.212, 0.750, 0.323)  -0.01
Mg (0.788, 0.250, 0.677)  -0.01
Pb (0.830, 0.750, 0.472)  -0.01
Pb (0.170, 0.250, 0.528)  -0.01

---

Record 10
Here is a relaxed structure of Rb2MgPbO4 from Alexandria. Energies are from PBE.

Computed properties:
As for the density of states at the Fermi level: 0.00 states/eV/cell. The value obtained for the energy relative to the elements, uncorrected is -35.47 kcal/mol of atoms. As for the total magnetic moment: 0.0 μB/f.u. The symmetry is I-4 (82). As for the calculated total energy: -4.922 eV per atom.

Cell lengths 6.163, 6.163, 6.014 Å; angles 120.84, 120.84, 89.98 degrees
Element x y z (fractional)
Mg (0.736, 0.736, 0.472)
O (0.993, 0.099, 0.707)
O (0.714, 0.608, 0.707)
O (0.373, 0.758, 0.237)
O (0.863, 0.479, 0.237)
Rb (0.236, 0.236, 0.472)
Rb (0.486, 0.986, 0.972)
Pb (0.986, 0.486, 0.972)

---

Record 11
Here is a relaxed structure of MgRe2PbO8 from Alexandria. Energies are from PBE.

Computed properties:
As for the density of states at the Fermi level: 7.33 states/eV/cell. The value obtained for the energy relative to the elements, uncorrected is -36.98 kcal/mol of atoms. As for the total magnetic moment: 1.9 μB/f.u. The symmetry is P-3 (147). As for the calculated total energy: -7.425 eV per atom.

Cell lengths 5.847, 5.847, 6.859 Å; angles 90.00, 90.00, 120.00 degrees
Site moments in Bohr magnetons follow the coordinates.
Element x y z (fractional)
O (0.837, 0.159, 0.309)  0.03
O (0.678, 0.837, 0.691)  0.03
O (0.163, 0.841, 0.691)  0.03
O (0.333, 0.667, 0.015)  0.07
O (0.159, 0.322, 0.691)  0.03
O (0.841, 0.678, 0.309)  0.03
O (0.667, 0.333, 0.985)  0.07
O (0.322, 0.163, 0.309)  0.03
Mg (0.000, 0.000, 0.500)  0.00
Re (0.667, 0.333, 0.244)  0.60
Re (0.333, 0.667, 0.756)  0.60
Pb (0.000, 0.000, 0.000)  0.12

---

Record 12
Here is a relaxed structure of MgRhPbO6 from Alexandria. Energies are from PBE.

Computed properties:
As for the density of states at the Fermi level: 12.48 states/eV/cell. The value obtained for the energy relative to the elements, uncorrected is -22.03 kcal/mol of atoms. As for the total magnetic moment: 0.0 μB/f.u. The symmetry is P-31c (163). As for the calculated total energy: -5.667 eV per atom.

Cell lengths 5.411, 5.411, 8.646 Å; angles 90.00, 90.00, 120.00 degrees
Element x y z (fractional)
Mg (0.000, 0.000, 0.500)
Mg (0.000, 0.000, 0.000)
O (0.326, 0.964, 0.624)
O (0.674, 0.638, 0.124)
O (0.362, 0.036, 0.124)
O (0.964, 0.326, 0.124)
O (0.036, 0.674, 0.876)
O (0.036, 0.362, 0.624)
O (0.964, 0.638, 0.376)
O (0.638, 0.964, 0.876)
O (0.638, 0.674, 0.624)
O (0.362, 0.326, 0.376)
O (0.326, 0.362, 0.876)
O (0.674, 0.036, 0.376)
Pb (0.667, 0.333, 0.750)
Pb (0.333, 0.667, 0.250)
Rh (0.333, 0.667, 0.750)
Rh (0.667, 0.333, 0.250)

---

Question: Which value of total magnetic moment does entry 3 give?
Answer: 0.0 μB/f.u.